No. 1
Here is a geometry-optimized Tm4SnSe2 structure from Alexandria via LeMat-Bulk. Energies are from PBE.

Values from the calculation:
- energy above the lowest structure with this stoichiometry (meV/atom) = 265
- symmetry = Cmmm, No. 65

Lattice parameters (Å, degrees): 6.8597 6.8597 8.8360 90.00 90.00 115.51
Closest atoms and distances in Å follow each position.
Fractional positions:
Tm 0.7634 0.7633 0.0000  2 Se 2.78, 2 Sn 2.93
Tm 0.2366 0.2367 0.0000  2 Se 2.78, 2 Sn 2.93
Tm 0.2367 0.2366 0.5000  2 Se 2.78, 2 Sn 2.93
Tm 0.7633 0.7634 0.5000  2 Se 2.78, 2 Sn 2.93
Tm 0.5000 0.0000 0.2498  4 Se 2.96
Tm 0.0000 0.5000 0.2502  4 Se 2.96
Tm 0.5000 0.0000 0.7502  4 Se 2.96
Tm 0.0000 0.5000 0.7498  4 Se 2.96
Sn 0.5000 0.5000 0.2500  4 Tm 2.93
Sn 0.5000 0.5000 0.7500  4 Tm 2.93
Se 0.1873 0.8125 0.0000  6 Tm 2.78-2.96
Se 0.8127 0.1875 0.0000  6 Tm 2.78-2.96
Se 0.1875 0.8127 0.5000  6 Tm 2.78-2.96
Se 0.8125 0.1873 0.5000  6 Tm 2.78-2.96

=====

No. 2
Here is a geometry-optimized YTmSnSe structure from Alexandria via LeMat-Bulk. Energies are from PBE.

Values from the calculation:
- symmetry = P4/mmm, No. 123

Lattice parameters (Å, degrees): 4.2424 4.2421 5.9654 90.00 90.00 90.00
Closest atoms and distances in Å follow each position.
Fractional positions:
Y 0.5000 0.3916 0.5926  2 Se 2.98, 4 Sn 3.00
Tm 0.0000 0.8914 0.0923  2 Sn 2.98, 4 Se 3.00
Sn 0.0000 0.8917 0.5923  2 Tm 2.98, 4 Y 3.00
Se 0.5000 0.3914 0.0926  2 Y 2.98, 4 Tm 3.00

=====

No. 3
Here is a geometry-optimized USn3Se6 structure from Alexandria via LeMat-Bulk. Energies are from PBE.

Values from the calculation:
- symmetry = P2_1/m, No. 11

Lattice parameters (Å, degrees): 3.9924 11.8517 12.2083 103.47 90.00 90.00
Closest atoms and distances in Å follow each position.
Fractional positions:
U 0.7500 0.0394 0.6795  8 Se 2.85-3.00
U 0.2500 0.9606 0.3205  8 Se 2.85-3.00
Sn 0.7500 0.4356 0.8505  4 Se 2.76-3.00
Sn 0.2500 0.5644 0.1495  4 Se 2.76-3.00
Sn 0.7500 0.6572 0.4842  4 Se 2.75-2.98
Sn 0.2500 0.3428 0.5158  4 Se 2.75-2.98
Sn 0.7500 0.1528 0.1030  4 Se 2.73-2.99
Sn 0.2500 0.8472 0.8970  4 Se 2.73-2.99
Se 0.7500 0.4847 0.6269  4 Sn 2.75-2.98
Se 0.2500 0.5153 0.3731  4 Sn 2.75-2.98
Se 0.7500 0.9258 0.1376  1 Sn 2.82, 2 U 2.95, 1 Se 2.99
Se 0.2500 0.0742 0.8624  1 Sn 2.82, 2 U 2.95, 1 Se 2.99
Se 0.7500 0.4008 0.0866  4 Sn 2.76-3.00
Se 0.2500 0.5992 0.9134  4 Sn 2.76-3.00
Se 0.7500 0.7811 0.3082  1 Sn 2.87, 2 U 2.90, 1 Se 2.99
Se 0.2500 0.2189 0.6918  1 Sn 2.87, 2 U 2.90, 1 Se 2.99
Se 0.7500 0.1006 0.4543  3 U 2.85-3.00
Se 0.2500 0.8994 0.5457  3 U 2.85-3.00
Se 0.7500 0.8114 0.7401  2 Sn 2.73, 1 U 2.96
Se 0.2500 0.1886 0.2599  2 Sn 2.73, 1 U 2.96

=====

No. 4
Here is a geometry-optimized U2SnSe6 structure from Alexandria via LeMat-Bulk. Energies are from PBE.

Values from the calculation:
- energy above the lowest structure with this stoichiometry (meV/atom) = 0
- symmetry = P2_1/c, No. 14

Lattice parameters (Å, degrees): 6.7908 7.0683 10.1336 90.00 80.71 90.00
Closest atoms and distances in Å follow each position.
Fractional positions:
U 0.0554 0.6130 0.7837  7 Se 2.81-3.02
U 0.4446 0.1130 0.7163  7 Se 2.81-3.02
U 0.5554 0.8870 0.2837  7 Se 2.81-3.02
U 0.9446 0.3870 0.2163  7 Se 2.81-3.02
Sn 0.5000 0.5000 0.0000  6 Se 2.74-2.87
Sn 0.0000 0.0000 0.5000  6 Se 2.74-2.87
Se 0.1988 0.0825 0.2490  1 Sn 2.74, 2 U 2.81-2.86
Se 0.1826 0.3310 0.5901  2 U 2.81-2.83, 1 Sn 2.87
Se 0.1710 0.3054 0.9401  1 Sn 2.77, 3 U 2.87-3.02
Se 0.3290 0.8054 0.5599  1 Sn 2.77, 3 U 2.87-3.02
Se 0.3174 0.8310 0.9099  2 U 2.81-2.83, 1 Sn 2.87
Se 0.3012 0.5825 0.2510  1 Sn 2.74, 2 U 2.81-2.86
Se 0.8012 0.9175 0.7510  1 Sn 2.74, 2 U 2.81-2.86
Se 0.8174 0.6690 0.4099  2 U 2.81-2.83, 1 Sn 2.87
Se 0.8290 0.6946 0.0599  1 Sn 2.77, 3 U 2.87-3.02
Se 0.6710 0.1946 0.4401  1 Sn 2.77, 3 U 2.87-3.02
Se 0.6826 0.1690 0.0901  2 U 2.81-2.83, 1 Sn 2.87
Se 0.6988 0.4175 0.7490  1 Sn 2.74, 2 U 2.81-2.86

=====

no.,magnetic moment (μB/f.u.),calculated total energy (eV per cell),uncorrected formation energy (eV/f.u.)
1,0.00,-70.4,-6.33
2,0.00,-23.3,-4.85
3,1.29,-100.3,-5.96
4,3.54,-109.3,-7.15